VASP calculation (PBE-GGA) on TiAg2Rh2O6 after structural relaxation.

abc: 5.171 5.171 6.451
angles: 100.05 100.05 117.01
Positions (direct):
Ti 0.000 0.000 0.000
Ag 0.313 0.687 0.500
Ag 0.687 0.313 0.500
Rh 0.333 0.667 0.000
Rh 0.667 0.333 0.000
O 0.064 0.734 0.176
O 0.266 0.936 0.824
O 0.381 0.381 0.182
O 0.619 0.619 0.818
O 0.734 0.064 0.176
O 0.936 0.266 0.824

Computed properties:
calculated density: 6.481 Mg/m³
E_form (uncorrected): -1.074 eV/atom
calculated total energy: -0.467 Ry per atom

VASP calculation (PBE-GGA) on Tl2AgRh3O8 after structural relaxation.

abc: 6.744 6.744 6.744
angles: 55.65 55.65 55.65
Positions (direct):
Tl 0.000 0.000 0.000
Tl 0.373 0.373 0.373
Ag 0.636 0.636 0.636
Rh 0.000 0.000 0.506
Rh 0.000 0.506 0.000
Rh 0.506 0.000 0.000
O 0.198 0.750 0.750
O 0.225 0.225 0.225
O 0.250 0.250 0.811
O 0.250 0.811 0.250
O 0.750 0.198 0.750
O 0.750 0.750 0.198
O 0.774 0.774 0.774
O 0.811 0.250 0.250

Computed properties:
calculated density: 8.116 Mg/m³
E_form (uncorrected): -0.635 eV/atom
calculated total energy: -0.411 Ry per atom

VASP calculation (PBE-GGA) on Tl2Ag2RhO6 after structural relaxation.

abc: 5.855 5.855 6.368
angles: 93.63 93.63 119.69
Positions (direct):
Tl 0.164 0.836 0.000
Tl 0.836 0.164 0.000
Ag 0.352 0.648 0.500
Ag 0.648 0.352 0.500
Rh 0.500 0.500 0.000
O 0.189 0.189 0.842
O 0.238 0.536 0.174
O 0.464 0.762 0.826
O 0.536 0.238 0.174
O 0.762 0.464 0.826
O 0.811 0.811 0.158

Computed properties:
calculated density: 7.269 Mg/m³
E_form (uncorrected): -0.503 eV/atom
calculated total energy: -0.355 Ry per atom

VASP calculation (PBE-GGA) on Tm3Ag3RhO8 after structural relaxation.

abc: 6.642 6.642 6.926
angles: 118.81 118.81 60.02
Positions (direct):
Tm 0.000 0.000 0.000
Tm 0.000 0.500 0.000
Tm 0.500 0.000 0.000
Ag 0.000 0.500 0.500
Ag 0.500 0.000 0.500
Ag 0.500 0.500 0.500
Rh 0.500 0.500 0.000
O 0.229 0.229 0.185
O 0.255 0.717 0.188
O 0.283 0.283 0.812
O 0.283 0.745 0.812
O 0.717 0.255 0.188
O 0.717 0.717 0.188
O 0.745 0.283 0.812
O 0.771 0.771 0.815

Computed properties:
calculated density: 8.014 Mg/m³
E_form (uncorrected): -1.847 eV/atom
calculated total energy: -0.474 Ry per atom

VASP calculation (PBE-GGA) on Ag2Ru2O7 after structural relaxation.

abc: 5.893 5.893 5.604
angles: 95.11 95.11 114.02
Positions (direct):
Ag 0.189 0.811 0.000
Ag 0.811 0.189 0.000
Ru 0.243 0.243 0.614
Ru 0.757 0.757 0.386
O 0.074 0.074 0.310
O 0.117 0.424 0.788
O 0.424 0.117 0.788
O 0.500 0.500 0.500
O 0.576 0.883 0.212
O 0.883 0.576 0.212
O 0.926 0.926 0.690

Computed properties:
calculated density: 5.017 Mg/m³
E_form (uncorrected): -0.594 eV/atom
calculated total energy: -0.438 Ry per atom

VASP calculation (PBE-GGA) on AgRuO3 after structural relaxation.

abc: 3.990 3.990 3.990
angles: 90.00 90.00 90.00
Positions (direct):
Ag 0.000 0.000 0.000
Ru 0.500 0.500 0.500
O 0.000 0.000 0.500
O 0.000 0.500 0.000
O 0.500 0.000 0.000

Computed properties:
calculated density: 6.715 Mg/m³
E_form (uncorrected): 0.844 eV/atom
calculated total energy: -0.335 Ry per atom